# 1
{"formula": "PuCdHg3", "functional": "PBE", "state": "optimized geometry", "lattice_angstrom": [[3.345, -7.986, 0.000], [3.345, 7.986, 0.000], [0.000, 0.000, 5.472]], "species": ["Pu", "Pu", "Cd", "Cd", "Hg", "Hg", "Hg", "Hg", "Hg", "Hg"], "frac_coords": [[0.193, 0.807, 0.750], [0.807, 0.193, 0.250], [0.327, 0.673, 0.250], [0.673, 0.327, 0.750], [0.000, 0.000, 0.000], [0.000, 0.000, 0.500], [0.118, 0.399, 0.750], [0.399, 0.118, 0.250], [0.601, 0.882, 0.750], [0.882, 0.601, 0.250]], "e_above_lowest_polymorph_ev_per_atom": 0.0810, "ef_mev_per_atom": 32, "magnetic_moment_mub_per_fu": 6.10}

=====

# 2
{"formula": "InCoMo2N", "functional": "PBE", "state": "optimized geometry", "lattice_angstrom": [[4.152, 0.000, 0.000], [0.000, 4.152, 0.000], [0.000, 0.000, 3.969]], "species": ["In", "Co", "Mo", "Mo", "N"], "frac_coords": [[0.000, 0.000, 0.000], [0.500, 0.500, 0.000], [0.000, 0.500, 0.500], [0.500, 0.000, 0.500], [0.500, 0.500, 0.500]], "formation_energy_uncorrected_ev_per_atom": -0.012, "magnetic_moment_mub_per_fu": 0.14}

=====

# 3
{"formula": "Rb2PI6O", "functional": "PBE", "state": "optimized geometry", "lattice_angstrom": [[-4.487, 4.487, 4.814], [4.487, -4.487, 4.814], [4.487, 4.487, -4.814]], "species": ["Rb", "Rb", "P", "I", "I", "I", "I", "I", "I", "O"], "frac_coords": [[0.250, 0.750, 0.500], [0.750, 0.250, 0.500], [0.000, 0.000, 0.000], [0.220, 0.220, 0.439], [0.220, 0.780, 0.000], [0.282, 0.282, 0.000], [0.718, 0.718, 0.000], [0.780, 0.220, 0.000], [0.780, 0.780, 0.561], [0.500, 0.500, 0.000]], "formation_energy_uncorrected_ev_per_atom": -0.468, "magnetic_moment_mub_per_fu": 1.00}

=====

# 4
{"formula": "Sm2Sn3Pd5", "functional": "PBE", "state": "optimized geometry", "lattice_angstrom": [[2.234, -12.790, 0.000], [2.234, 12.790, 0.000], [0.000, 0.000, 7.182]], "species": ["Sm", "Sm", "Sm", "Sm", "Sn", "Sn", "Sn", "Sn", "Sn", "Sn", "Pd", "Pd", "Pd", "Pd", "Pd", "Pd", "Pd", "Pd", "Pd", "Pd"], "frac_coords": [[0.021, 0.979, 0.500], [0.317, 0.683, 0.555], [0.683, 0.317, 0.055], [0.979, 0.021, 0.000], [0.104, 0.896, 0.178], [0.290, 0.710, 0.113], [0.438, 0.562, 0.307], [0.562, 0.438, 0.807], [0.710, 0.290, 0.613], [0.896, 0.104, 0.678], [0.121, 0.879, 0.771], [0.198, 0.802, 0.382], [0.230, 0.770, 0.809], [0.384, 0.616, 0.968], [0.459, 0.541, 0.687], [0.541, 0.459, 0.187], [0.616, 0.384, 0.468], [0.770, 0.230, 0.309], [0.802, 0.198, 0.882], [0.879, 0.121, 0.271]], "e_above_lowest_polymorph_ev_per_atom": 0.0000, "ef_mev_per_atom": -743, "magnetic_moment_mub_per_fu": 0.00}